# 1
Here is a relaxed structure of Cu2AgPS4 from the Alexandria database. Energies are from GGA-PBE.

abc: 5.530 5.530 6.299
angles: 116.03 116.03 90.00
Atoms (fractional coordinates):
Cu: 0.750 0.250 0.500
Cu: 0.250 0.750 0.500
Ag: 0.000 0.000 0.000
P: 0.500 0.500 0.000
S: 0.587 0.587 0.745
S: 0.413 0.842 0.255
S: 0.842 0.413 0.255
S: 0.158 0.158 0.745

- Energy: -4.3585 eV/atom
- ΔE_f (raw): -1.90 eV per formula unit
- Space-group type: No. 121

---

# 2
Here is a relaxed structure of Dy3Y3Pt2 from the Alexandria database. Energies are from GGA-PBE.

abc: 3.775 6.869 18.499
angles: 90.00 90.00 105.95
Atoms (fractional coordinates):
Dy: 0.672 0.343 0.443
Dy: 0.328 0.657 0.943
Dy: 0.672 0.343 0.057
Dy: 0.328 0.657 0.557
Dy: 0.435 0.869 0.250
Dy: 0.565 0.131 0.750
Y: 0.942 0.884 0.413
Y: 0.058 0.116 0.913
Y: 0.942 0.884 0.087
Y: 0.058 0.116 0.587
Y: 0.710 0.421 0.250
Y: 0.290 0.579 0.750
Pt: 0.710 0.421 0.864
Pt: 0.290 0.579 0.364
Pt: 0.710 0.421 0.636
Pt: 0.290 0.579 0.136

- Energy: -6.2597 eV/atom
- Space-group type: No. 63
- ΔH_f (0 K): -4.8 eV/f.u.

---

# 3
Here is a relaxed structure of Sn2AsRh2 from the Alexandria database. Energies are from GGA-PBE.

abc: 7.703 7.703 3.103
angles: 90.00 90.00 90.00
Atoms (fractional coordinates):
As: 0.000 0.000 0.000
As: 0.500 0.500 0.000
Rh: 0.356 0.856 0.000
Rh: 0.856 0.644 0.000
Rh: 0.644 0.144 0.000
Rh: 0.144 0.356 0.000
Sn: 0.154 0.654 0.500
Sn: 0.654 0.846 0.500
Sn: 0.846 0.346 0.500
Sn: 0.346 0.154 0.500

- Energy: -5.7125 eV/atom
- Space-group type: No. 127
- ΔH_f (0 K): -1.2 eV/f.u.

---

# 4
Here is a relaxed structure of ZnW5 from the Alexandria database. Energies are from GGA-PBE.

abc: 5.516 5.516 7.025
angles: 75.51 75.51 27.89
Atoms (fractional coordinates):
Zn: 0.274 0.274 0.952
W: 0.003 0.003 0.990
W: 0.605 0.605 0.286
W: 0.332 0.332 0.319
W: 0.939 0.939 0.624
W: 0.679 0.679 0.663

- Energy: -10.6108 eV/atom
- Space-group type: No. 8
- ΔH_f (0 K): 2.4 eV/f.u.

---

# 5
Here is a relaxed structure of Ti6GeIr5 from the Alexandria database. Energies are from GGA-PBE.

abc: 4.576 5.869 8.222
angles: 69.09 63.95 90.00
Atoms (fractional coordinates):
Ge: 0.000 0.000 0.000
Ir: 0.634 0.173 0.654
Ir: 0.360 0.328 0.344
Ir: 0.000 0.500 0.000
Ir: 0.640 0.672 0.656
Ir: 0.366 0.827 0.346
Ti: 0.874 0.584 0.328
Ti: 0.874 0.088 0.328
Ti: 0.500 0.749 0.000
Ti: 0.500 0.251 0.000
Ti: 0.126 0.912 0.672
Ti: 0.126 0.416 0.672

- Energy: -8.8050 eV/atom
- Space-group type: No. 12
- ΔH_f (0 K): -9.4 eV/f.u.

---

# 6
Here is a relaxed structure of NaTb6S8 from the Alexandria database. Energies are from GGA-PBE.

abc: 8.244 8.244 7.335
angles: 55.81 55.81 60.00
Atoms (fractional coordinates):
Na: 0.000 0.000 0.000
Tb: 0.460 0.082 0.758
Tb: 0.918 0.300 0.242
Tb: 0.300 0.540 0.242
Tb: 0.700 0.460 0.758
Tb: 0.082 0.700 0.758
Tb: 0.540 0.918 0.242
S: 0.635 0.193 0.268
S: 0.807 0.095 0.732
S: 0.095 0.365 0.732
S: 0.673 0.673 0.981
S: 0.327 0.327 0.019
S: 0.905 0.635 0.268
S: 0.193 0.905 0.268
S: 0.365 0.807 0.732

- Energy: -6.0227 eV/atom
- ΔE_f (raw): -28.22 eV per formula unit
- Space-group type: No. 148

---

# 7
Here is a relaxed structure of CaSc3Tl4 from the Alexandria database. Energies are from GGA-PBE.

abc: 5.187 5.187 9.004
angles: 73.26 73.26 60.00
Atoms (fractional coordinates):
Sc: 0.250 0.250 0.250
Sc: 0.750 0.750 0.750
Sc: 0.500 0.500 0.500
Ca: 0.000 0.000 0.000
Tl: 0.873 0.873 0.382
Tl: 0.378 0.378 0.867
Tl: 0.127 0.127 0.618
Tl: 0.622 0.622 0.133

- Energy: -4.0754 eV/atom
- Space-group type: No. 166
- ΔH_f (0 K): -2.1 eV/f.u.

---

# 8
Here is a relaxed structure of Tl2GePbF8 from the Alexandria database. Energies are from GGA-PBE.

abc: 4.949 6.449 7.368
angles: 90.00 90.00 93.03
Atoms (fractional coordinates):
Tl: 0.500 0.500 0.766
Tl: 0.500 0.500 0.234
Ge: 0.000 0.000 0.000
Pb: 0.000 0.000 0.500
F: 0.128 0.833 0.186
F: 0.692 0.841 0.000
F: 0.872 0.167 0.186
F: 0.872 0.167 0.814
F: 0.308 0.159 0.000
F: 0.128 0.833 0.814
F: 0.629 0.748 0.500
F: 0.371 0.252 0.500

- Energy: -4.5589 eV/atom
- ΔE_f (raw): -26.68 eV per formula unit
- Space-group type: No. 10

---

# 9
Here is a relaxed structure of Tb4Pr7Ho from the Alexandria database. Energies are from GGA-PBE.

abc: 7.346 9.728 9.083
angles: 81.11 89.94 41.00
Atoms (fractional coordinates):
Tb: 0.529 0.723 0.332
Tb: 0.471 0.277 0.668
Tb: 0.720 0.780 0.665
Tb: 0.280 0.220 0.335
Pr: 0.751 0.500 0.002
Pr: 0.249 0.500 0.998
Pr: 0.971 0.280 0.666
Pr: 0.029 0.720 0.334
Pr: 0.221 0.779 0.666
Pr: 0.500 0.000 0.000
Pr: 0.779 0.221 0.334
Ho: 0.000 0.000 0.000

- Energy: -4.7016 eV/atom
- Space-group type: No. 2
- ΔH_f (0 K): 0.1 eV/f.u.

---

# 10
Here is a relaxed structure of KNpTiSe3 from the Alexandria database. Energies are from GGA-PBE.

abc: 4.159 9.173 9.807
angles: 107.49 90.00 90.00
Each line ends with the local moment (μB).
Atoms (fractional coordinates):
K: 0.250 0.202 0.228  0.00
K: 0.750 0.798 0.772  0.00
Np: 0.250 0.669 0.147  3.96
Np: 0.750 0.331 0.853  3.96
Ti: 0.250 0.083 0.600  0.59
Ti: 0.750 0.917 0.400  0.59
Se: 0.750 0.890 0.140  -0.05
Se: 0.250 0.110 0.860  -0.05
Se: 0.250 0.795 0.470  -0.02
Se: 0.750 0.205 0.530  -0.02
Se: 0.750 0.456 0.159  -0.08
Se: 0.250 0.544 0.841  -0.08

- Energy: -6.5167 eV/atom
- ΔE_f (raw): -6.71 eV per formula unit
- Space-group type: No. 11

---

# 11
Here is a relaxed structure of Ir5Ru4 from the Alexandria database. Energies are from GGA-PBE.

abc: 3.844 6.085 6.085
angles: 95.73 108.41 71.59
Atoms (fractional coordinates):
Ir: 0.000 0.000 0.000
Ir: 0.332 0.000 0.664
Ir: 0.332 0.336 0.000
Ir: 0.668 0.664 0.000
Ir: 0.668 0.000 0.336
Ru: 0.000 0.337 0.337
Ru: 0.000 0.663 0.663
Ru: 0.337 0.663 0.337
Ru: 0.663 0.337 0.663

- Energy: -9.0633 eV/atom
- Space-group type: No. 139
- ΔH_f (0 K): -0.2 eV/f.u.

---

# 12
Here is a relaxed structure of NbTe2N2 from the Alexandria database. Energies are from GGA-PBE.

abc: 4.598 4.598 3.839
angles: 90.00 90.00 90.00
Atoms (fractional coordinates):
Nb: 0.500 0.500 0.500
Te: 0.000 0.500 0.000
Te: 0.500 0.000 0.000
N: 0.000 0.000 0.000
N: 0.000 0.000 0.500

- Energy: -5.1904 eV/atom
- ΔE_f (raw): 7.05 eV per formula unit
- Space-group type: No. 123